Here is a relaxed structure of Al2TcTe from Alexandria via LeMat-Bulk. Energies are from GGA-PBE.

volume = 17.4 Å³/atom
formation energy from raw total energies = 1.08 eV/f.u.
total DFT energy (no corrections) = -4.98 eV/atom
D(E_F) = 0.6934 states/eV per atom
space group = I-4m2 (119)

POSCAR file:
```
Al2TcTe
1.0
-4.2025 -2.0827 -1.2699
0.5277 -0.6853 -4.7816
3.0330 -1.3476 3.5492
Te Tc Al
1 1 2
Cartesian
-1.5035 -2.4072 -0.3732
-1.8374 -1.3840 -3.0257
0.8617 -1.7085 -2.1291
0.0000 0.0000 0.0000
```